Density functional theory data (PBE) for an optimized crystal structure of NaCa2PdN.

Energy (eV/atom): -4.0708
Total magnetic moment (μB per atom): 0.000
Raw formation energy (eV per atom): -0.303
Excess energy over the best structure of this formula in the dataset (meV per atom): 117
Volume (A^3/atom): 20.97
Space-group type: P4/mmm, No. 123

abc: 4.961 4.961 4.260
angles: 90.00 90.00 90.00
Element x y z (fractional)
Ca 0.500 0.000 0.000
Ca 0.000 0.500 0.000
Pd 0.000 0.000 0.500
N 0.000 0.000 0.000
Na 0.500 0.500 0.500



Density functional theory data (PBE) for an optimized crystal structure of NaCa2PtN.

Energy (eV/atom): -4.3056
Total magnetic moment (μB per atom): 0.000
Raw formation energy (eV per atom): -0.368
Volume (A^3/atom): 20.77
Space-group type: P4/mmm, No. 123

abc: 5.058 5.058 4.058
angles: 90.00 90.00 90.00
Element x y z (fractional)
Ca 0.000 0.500 0.000
Ca 0.500 0.000 0.000
N 0.000 0.000 0.000
Pt 0.000 0.000 0.500
Na 0.500 0.500 0.500



Density functional theory data (PBE) for an optimized crystal structure of NaCa3Pu2N6.

Energy (eV/atom): -8.1081
Total magnetic moment (μB per atom): 0.417
Raw formation energy (eV per atom): -0.946
Volume (A^3/atom): 14.58
Space-group type: C2/m, No. 12

abc: 3.534 7.052 7.442
angles: 103.42 103.73 90.00
Last column: magnetic moment on the atom in μB.
Element x y z (fractional)
N 0.318 0.420 0.635  -0.17
N 0.974 0.721 0.949  -0.18
N 0.328 0.880 0.655  -0.17
N 0.682 0.580 0.365  -0.17
N 0.026 0.279 0.051  -0.18
N 0.672 0.120 0.345  -0.17
Na 0.500 0.000 0.000  0.00
Ca 0.160 0.843 0.319  -0.01
Ca 0.500 0.500 0.000  -0.01
Ca 0.840 0.157 0.681  -0.01
Pu 0.166 0.325 0.333  3.15
Pu 0.834 0.675 0.667  3.15



Density functional theory data (PBE) for an optimized crystal structure of NaCaPuN3.

Energy (eV/atom): -7.6820
Total magnetic moment (μB per atom): 0.333
Raw formation energy (eV per atom): -0.577
Volume (A^3/atom): 15.54
Space-group type: C2/c, No. 15

abc: 5.715 5.535 6.660
angles: 65.45 84.55 76.78
Last column: magnetic moment on the atom in μB.
Element x y z (fractional)
N 0.750 0.240 0.519  -0.23
N 0.997 0.264 0.867  -0.16
N 0.003 0.736 0.133  -0.16
N 0.250 0.760 0.481  -0.23
N 0.503 0.868 0.867  -0.16
N 0.497 0.132 0.133  -0.16
Pu 0.250 0.926 0.149  2.62
Pu 0.750 0.074 0.851  2.62
Na 0.750 0.434 0.132  0.00
Na 0.250 0.566 0.868  0.00
Ca 0.750 0.762 0.476  0.01
Ca 0.250 0.238 0.524  0.01



Density functional theory data (PBE) for an optimized crystal structure of NaCa2RuN.

Energy (eV/atom): -4.8456
Total magnetic moment (μB per atom): 0.000
Raw formation energy (eV per atom): -0.261
Volume (A^3/atom): 20.88
Space-group type: P4/mmm, No. 123

abc: 5.203 5.203 3.856
angles: 90.00 90.00 90.00
Element x y z (fractional)
Na 0.500 0.500 0.500
N 0.000 0.000 0.000
Ca 0.000 0.500 0.000
Ca 0.500 0.000 0.000
Ru 0.000 0.000 0.500



Density functional theory data (PBE) for an optimized crystal structure of NaCa2SbN.

Energy (eV/atom): -4.2037
Total magnetic moment (μB per atom): 0.037
Raw formation energy (eV per atom): -0.650
Excess energy over the best structure of this formula in the dataset (meV per atom): 0
Volume (A^3/atom): 22.71
Space-group type: P4/mmm, No. 123

abc: 4.845 4.845 4.837
angles: 90.00 90.00 90.00
Last column: magnetic moment on the atom in μB.
Element x y z (fractional)
Ca 0.500 0.000 0.000  0.00
Ca 0.000 0.500 0.000  0.00
Na 0.000 0.000 0.500  0.00
N 0.000 0.000 0.000  0.07
Sb 0.500 0.500 0.500  0.03



Density functional theory data (PBE) for an optimized crystal structure of NaCaSeN2.

Energy (eV/atom): -3.7321
Total magnetic moment (μB per atom): 1.000
Raw formation energy (eV per atom): 0.959
Excess energy over the best structure of this formula in the dataset (meV per atom): 147
Volume (A^3/atom): 21.46
Space-group type: P4/mmm, No. 123

abc: 4.438 4.438 5.449
angles: 90.00 90.00 90.00
Last column: magnetic moment on the atom in μB.
Element x y z (fractional)
Se 0.000 0.000 0.500  0.29
Ca 0.500 0.500 0.500  0.00
Na 0.000 0.000 0.000  0.03
N 0.500 0.000 0.000  1.52
N 0.000 0.500 0.000  1.52



Density functional theory data (PBE) for an optimized crystal structure of NaCaSe2N.

Energy (eV/atom): -3.5621
Total magnetic moment (μB per atom): 0.708
Raw formation energy (eV per atom): 0.161
Excess energy over the best structure of this formula in the dataset (meV per atom): 0
Volume (A^3/atom): 29.72
Space-group type: P4/mmm, No. 123

abc: 5.603 5.603 4.734
angles: 90.00 90.00 90.00
Last column: magnetic moment on the atom in μB.
Element x y z (fractional)
Se 0.000 0.500 0.000  0.41
Se 0.500 0.000 0.000  0.41
N 0.000 0.000 0.500  1.44
Ca 0.000 0.000 0.000  0.02
Na 0.500 0.500 0.500  0.00



Density functional theory data (PBE) for an optimized crystal structure of NaCaSe2N.

Energy (eV/atom): -3.4312
Total magnetic moment (μB per atom): 0.629
Raw formation energy (eV per atom): 0.292
Excess energy over the best structure of this formula in the dataset (meV per atom): 131
Volume (A^3/atom): 24.42
Space-group type: P4/mmm, No. 123

abc: 5.255 5.255 4.422
angles: 90.00 90.00 90.00
Last column: magnetic moment on the atom in μB.
Element x y z (fractional)
N 0.000 0.000 0.500  1.64
Na 0.000 0.000 0.000  0.01
Se 0.000 0.500 0.000  0.23
Se 0.500 0.000 0.000  0.23
Ca 0.500 0.500 0.500  0.00



Density functional theory data (PBE) for an optimized crystal structure of NaCaSeN2.

Energy (eV/atom): -3.8792
Total magnetic moment (μB per atom): 0.999
Raw formation energy (eV per atom): 0.812
Excess energy over the best structure of this formula in the dataset (meV per atom): 0
Volume (A^3/atom): 25.77
Space-group type: P4/mmm, No. 123

abc: 4.721 4.721 5.782
angles: 90.00 90.00 90.00
Last column: magnetic moment on the atom in μB.
Element x y z (fractional)
Se 0.000 0.000 0.500  0.40
N 0.000 0.500 0.000  1.40
N 0.500 0.000 0.000  1.40
Na 0.500 0.500 0.500  0.00
Ca 0.000 0.000 0.000  0.03



Density functional theory data (PBE) for an optimized crystal structure of NaCa2SnN.

Energy (eV/atom): -3.9615
Total magnetic moment (μB per atom): 0.000
Raw formation energy (eV per atom): -0.431
Volume (A^3/atom): 23.52
Space-group type: P4/mmm, No. 123

abc: 4.815 4.815 5.072
angles: 90.00 90.00 90.00
Element x y z (fractional)
Na 0.000 0.000 0.500
N 0.000 0.000 0.000
Ca 0.500 0.000 0.000
Ca 0.000 0.500 0.000
Sn 0.500 0.500 0.500



Density functional theory data (PBE) for an optimized crystal structure of NaCaSnN2.

Energy (eV/atom): -3.5412
Total magnetic moment (μB per atom): 0.000
Raw formation energy (eV per atom): 1.254
Volume (A^3/atom): 22.00
Space-group type: P4/mmm, No. 123

abc: 4.386 5.716 4.386
angles: 90.00 90.00 90.00
Element x y z (fractional)
Na 0.500 0.500 0.500
N 0.500 0.000 0.000
N 0.000 0.000 0.500
Ca 0.000 0.500 0.000
Sn 0.000 0.000 0.000



Density functional theory data (PBE) for an optimized crystal structure of NaSr2CaN.

Energy (eV/atom): -3.2672
Total magnetic moment (μB per atom): 0.018
Raw formation energy (eV per atom): -0.265
Volume (A^3/atom): 30.46
Space-group type: P4/mmm, No. 123

abc: 5.502 5.502 5.031
angles: 90.00 90.00 90.00
Element x y z (fractional)
Na 0.500 0.500 0.500
Sr 0.000 0.500 0.000
Sr 0.500 0.000 0.000
Ca 0.000 0.000 0.500
N 0.000 0.000 0.000



Density functional theory data (PBE) for an optimized crystal structure of NaSrCa2N.

Energy (eV/atom): -3.3618
Total magnetic moment (μB per atom): 0.001
Raw formation energy (eV per atom): -0.296
Volume (A^3/atom): 28.37
Space-group type: P4/mmm, No. 123

abc: 5.073 5.073 5.512
angles: 90.00 90.00 90.00
Element x y z (fractional)
Ca 0.000 0.500 0.000
Ca 0.500 0.000 0.000
N 0.000 0.000 0.000
Sr 0.000 0.000 0.500
Na 0.500 0.500 0.500



Density functional theory data (PBE) for an optimized crystal structure of NaCaTa2N.

Energy (eV/atom): -4.0660
Total magnetic moment (μB per atom): 0.000
Raw formation energy (eV per atom): 3.004
Volume (A^3/atom): 23.72
Space-group type: P4/mmm, No. 123

abc: 4.712 5.342 4.712
angles: 90.00 90.00 90.00
Element x y z (fractional)
Ta 0.500 0.000 0.000
Ta 0.000 0.000 0.500
Ca 0.000 0.500 0.000
Na 0.000 0.000 0.000
N 0.500 0.500 0.500



Density functional theory data (PBE) for an optimized crystal structure of NaCa2Tc2N4.

Energy (eV/atom): -7.0884
Total magnetic moment (μB per atom): 0.000
Raw formation energy (eV per atom): -0.493
Volume (A^3/atom): 14.44
Space-group type: C2/m, No. 12

abc: 3.395 6.928 9.026
angles: 138.75 90.00 104.18
Element x y z (fractional)
Ca 0.177 0.353 0.570
Ca 0.823 0.647 0.430
N 0.246 0.492 0.150
N 0.754 0.508 0.850
N 0.431 0.862 0.714
N 0.569 0.138 0.286
Tc 0.353 0.707 0.074
Tc 0.647 0.293 0.926
Na 0.000 0.000 0.000



Density functional theory data (PBE) for an optimized crystal structure of Na2CaTc2N4.

Energy (eV/atom): -6.8334
Total magnetic moment (μB per atom): 0.000
Raw formation energy (eV per atom): -0.314
Volume (A^3/atom): 15.18
Space-group type: C2/m, No. 12

abc: 3.312 7.213 8.845
angles: 136.68 90.00 103.27
Element x y z (fractional)
Tc 0.649 0.299 0.926
Tc 0.351 0.701 0.074
N 0.539 0.077 0.249
N 0.235 0.469 0.139
N 0.461 0.923 0.751
N 0.765 0.531 0.861
Ca 0.000 0.000 0.000
Na 0.159 0.317 0.554
Na 0.841 0.683 0.446



Density functional theory data (PBE) for an optimized crystal structure of NaCaTe2N.

Energy (eV/atom): -3.3473
Total magnetic moment (μB per atom): 0.577
Raw formation energy (eV per atom): 0.239
Excess energy over the best structure of this formula in the dataset (meV per atom): 0
Volume (A^3/atom): 34.00
Space-group type: P4/mmm, No. 123

abc: 6.052 6.052 4.642
angles: 90.00 90.00 90.00
Last column: magnetic moment on the atom in μB.
Element x y z (fractional)
Te 0.500 0.000 0.000  0.22
Te 0.000 0.500 0.000  0.22
N 0.000 0.000 0.500  1.33
Na 0.500 0.500 0.500  0.00
Ca 0.000 0.000 0.000  0.01



Density functional theory data (PBE) for an optimized crystal structure of NaCaTe2N.

Energy (eV/atom): -3.1920
Total magnetic moment (μB per atom): 0.588
Raw formation energy (eV per atom): 0.394
Excess energy over the best structure of this formula in the dataset (meV per atom): 155
Volume (A^3/atom): 28.88
Space-group type: P4/mmm, No. 123

abc: 5.676 5.676 4.482
angles: 90.00 90.00 90.00
Last column: magnetic moment on the atom in μB.
Element x y z (fractional)
Ca 0.500 0.500 0.500  0.00
Te 0.000 0.500 0.000  0.15
Te 0.500 0.000 0.000  0.15
Na 0.000 0.000 0.000  0.01
N 0.000 0.000 0.500  1.61



Density functional theory data (PBE) for an optimized crystal structure of NaCa2UN4.

Energy (eV/atom): -7.1906
Total magnetic moment (μB per atom): 0.102
Raw formation energy (eV per atom): -0.952
Volume (A^3/atom): 14.65
Space-group type: Fmm2, No. 42

abc: 4.786 4.786 6.133
angles: 112.95 112.95 90.02
Last column: magnetic moment on the atom in μB.
Element x y z (fractional)
Na 0.439 0.439 0.000  0.00
U 0.941 0.941 0.000  0.16
N 0.131 0.131 0.389  0.06
N 0.742 0.742 0.611  0.06
N 0.939 0.430 0.000  0.16
N 0.430 0.939 0.000  0.16
Ca 0.187 0.687 0.500  0.01
Ca 0.687 0.187 0.500  0.01



Density functional theory data (PBE) for an optimized crystal structure of Na4CaU3N8.

Energy (eV/atom): -7.7428
Total magnetic moment (μB per atom): 0.000
Raw formation energy (eV per atom): -1.009
Volume (A^3/atom): 14.94
Space-group type: R-3m, No. 166

abc: 6.997 6.935 6.997
angles: 120.31 120.00 90.00
Element x y z (fractional)
N 0.730 0.691 0.461
N 0.755 0.320 0.064
N 0.691 0.680 0.936
N 0.309 0.320 0.064
N 0.270 0.309 0.539
N 0.245 0.680 0.936
N 0.244 0.680 0.489
N 0.756 0.320 0.511
Ca 0.000 0.500 0.000
Na 0.000 0.000 0.000
Na 0.500 0.000 0.000
Na 0.500 0.000 0.500
Na 0.000 0.000 0.500
U 0.000 0.500 0.500
U 0.500 0.500 0.000
U 0.500 0.500 0.500



Density functional theory data (PBE) for an optimized crystal structure of NaCa3U2N6.

Energy (eV/atom): -7.8155
Total magnetic moment (μB per atom): 0.088
Raw formation energy (eV per atom): -1.161
Volume (A^3/atom): 14.87
Space-group type: C2/m, No. 12

abc: 3.564 7.067 7.510
angles: 103.50 103.73 90.00
Last column: magnetic moment on the atom in μB.
Element x y z (fractional)
N 0.319 0.431 0.637  -0.03
N 0.977 0.721 0.954  -0.02
N 0.673 0.122 0.346  -0.02
N 0.023 0.279 0.046  -0.02
N 0.327 0.878 0.654  -0.02
N 0.681 0.569 0.363  -0.03
Na 0.500 0.000 0.000  0.00
Ca 0.500 0.500 0.000  0.00
Ca 0.841 0.160 0.682  0.01
Ca 0.159 0.840 0.318  0.01
U 0.835 0.678 0.671  0.55
U 0.165 0.322 0.329  0.55



Density functional theory data (PBE) for an optimized crystal structure of NaCa2WN4.

Energy (eV/atom): -7.1377
Total magnetic moment (μB per atom): 0.129
Raw formation energy (eV per atom): -0.691
Volume (A^3/atom): 17.33
Space-group type: Pmn2_1, No. 31

abc: 5.541 6.355 7.875
angles: 90.00 90.00 90.00
Last column: magnetic moment on the atom in μB.
Element x y z (fractional)
N 0.913 0.893 0.000  0.22
N 0.413 0.107 0.500  0.22
N 0.337 0.182 0.000  0.19
N 0.908 0.322 0.202  0.17
N 0.908 0.322 0.798  0.17
N 0.408 0.678 0.702  0.17
N 0.408 0.678 0.298  0.17
N 0.837 0.818 0.500  0.19
Na 0.475 0.828 0.000  0.00
Na 0.975 0.172 0.500  0.00
W 0.002 0.181 0.000  -0.09
W 0.502 0.819 0.500  -0.09
Ca 0.978 0.688 0.246  0.01
Ca 0.478 0.312 0.254  0.01
Ca 0.978 0.688 0.754  0.01
Ca 0.478 0.312 0.746  0.01



Density functional theory data (PBE) for an optimized crystal structure of CaNbN3.

Energy (eV/atom): -8.1925
Total magnetic moment (μB per atom): 0.038
Raw formation energy (eV per atom): -0.783
Volume (A^3/atom): 15.65
Space-group type: C2/m, No. 12

abc: 3.829 6.913 6.458
angles: 106.95 90.00 106.08
Last column: magnetic moment on the atom in μB.
Element x y z (fractional)
N 0.836 0.671 0.426  0.01
N 0.994 0.988 0.090  0.10
N 0.006 0.012 0.910  0.10
N 0.668 0.336 0.989  0.00
N 0.332 0.664 0.011  0.00
N 0.164 0.329 0.574  0.01
Ca 0.365 0.730 0.650  0.00
Ca 0.635 0.270 0.350  0.00
Nb 0.169 0.337 0.864  0.02
Nb 0.831 0.663 0.136  0.02



Density functional theory data (PBE) for an optimized crystal structure of CaNbN3.

Energy (eV/atom): -5.5531
Total magnetic moment (μB per atom): 0.028
Raw formation energy (eV per atom): 1.856
Volume (A^3/atom): 12.82
Space-group type: Pm-3m, No. 221

abc: 4.003 4.003 4.003
angles: 90.00 90.00 90.00
Last column: magnetic moment on the atom in μB.
Element x y z (fractional)
Nb 0.500 0.500 0.500  -0.42
N 0.500 0.000 0.000  0.07
N 0.000 0.500 0.000  0.09
N 0.000 0.000 0.500  0.08
Ca 0.000 0.000 0.000  0.01